# NdPbAu, relaxed, DFT PBE
data_NdPbAu
_space_group_name_H-M_alt 'I 4 m m'
_space_group_IT_number 107
_space_group_name_Hall 'I 4 -2'
_cell_length_a 3.679
_cell_length_b 3.679
_cell_length_c 11.962
_cell_angle_alpha 90.00
_cell_angle_beta 90.00
_cell_angle_gamma 90.00
loop_
_atom_site_label
_atom_site_type_symbol
_atom_site_fract_x
_atom_site_fract_y
_atom_site_fract_z
Nd1 Nd 0.000 0.000 0.000
Pb1 Pb 0.000 0.000 0.297
Au1 Au 0.000 0.000 0.638
# * ΔE_f: -0.4929 eV/atom
# * M_tot: 0.00 μB/f.u.
# * calculated density: 11.3 Mg/m³